Entry 1:
# Ag7Pd4Au | Alexandria via LeMat-Bulk | PBE-GGA | optimized geometry
# Calculated formation energy in eV per atom: -0.0440
# Crystal system: triclinic
data_Ag7Pd4Au
_chemical_formula_sum 'Ag7 Pd4 Au1'
_cell_length_a 4.980
_cell_length_b 5.777
_cell_length_c 7.611
_cell_angle_alpha 79.61
_cell_angle_beta 71.21
_cell_angle_gamma 89.75
_space_group_name_H-M_alt 'P -1'
_space_group_IT_number 2
loop_
_space_group_symop_operation_xyz
'x,y,z'
'-x,-y,-z'
loop_
_atom_site_label
_atom_site_type_symbol
_atom_site_fract_x
_atom_site_fract_y
_atom_site_fract_z
_atom_site_occupancy
Ag1 Ag 0.000 0.000 0.000 1
Ag2 Ag 0.004 0.836 0.663 1
Ag3 Ag 0.495 0.417 0.337 1
Ag4 Ag 0.497 0.752 0.001 1
Pd1 Pd 0.000 0.333 0.668 1
Pd2 Pd 0.500 0.085 0.665 1
Au1 Au 0.000 0.500 0.000 1

***

Entry 2:
# Ag8PdAu5 | Alexandria via LeMat-Bulk | PBE-GGA | optimized geometry
# Calculated formation energy in eV per atom: 0.1139
# Crystal system: tetragonal
data_Ag8PdAu5
_chemical_formula_sum 'Ag16 Pd2 Au10'
_cell_length_a 8.070
_cell_length_b 8.070
_cell_length_c 8.194
_cell_angle_alpha 90.00
_cell_angle_beta 90.00
_cell_angle_gamma 90.00
_space_group_name_H-M_alt 'I -4'
_space_group_IT_number 82
loop_
_space_group_symop_operation_xyz
'x,y,z'
'y,-x,-z'
'-x,-y,z'
'-y,x,-z'
'x+1/2,y+1/2,z+1/2'
'y+1/2,-x+1/2,-z+1/2'
'-x+1/2,-y+1/2,z+1/2'
'-y+1/2,x+1/2,-z+1/2'
loop_
_atom_site_label
_atom_site_type_symbol
_atom_site_fract_x
_atom_site_fract_y
_atom_site_fract_z
_atom_site_occupancy
Ag1 Ag 0.063 0.164 0.325 1
Ag2 Ag 0.108 0.315 0.994 1
Pd1 Pd 0.000 0.000 0.000 1
Au1 Au 0.000 0.500 0.250 1
Au2 Au 0.113 0.296 0.659 1

***

Entry 3:
# AgPd3Au4 | Alexandria via LeMat-Bulk | PBE-GGA | optimized geometry
# Calculated formation energy in eV per atom: -0.0867
# Crystal system: monoclinic
data_AgPd3Au4
_chemical_formula_sum 'Ag2 Pd6 Au8'
_cell_length_a 16.589
_cell_length_b 4.110
_cell_length_c 4.101
_cell_angle_alpha 90.00
_cell_angle_beta 104.26
_cell_angle_gamma 90.00
_space_group_name_H-M_alt 'C 1 2/m 1'
_space_group_IT_number 12
loop_
_space_group_symop_operation_xyz
'x,y,z'
'-x,-y,-z'
'-x,y,-z'
'x,-y,z'
'x+1/2,y+1/2,z'
'-x+1/2,-y+1/2,-z'
'-x+1/2,y+1/2,-z'
'x+1/2,-y+1/2,z'
loop_
_atom_site_label
_atom_site_type_symbol
_atom_site_fract_x
_atom_site_fract_y
_atom_site_fract_z
_atom_site_occupancy
Ag1 Ag 0.000 0.000 0.000 1
Pd1 Pd 0.000 0.500 0.500 1
Pd2 Pd 0.250 0.000 0.250 1
Au1 Au 0.127 0.000 0.627 1
Au2 Au 0.127 0.500 0.127 1

***

Entry 4:
# Ag3Pd4Au | Alexandria via LeMat-Bulk | PBE-GGA | optimized geometry
# Calculated formation energy in eV per atom: 0.2711
# Crystal system: orthorhombic
data_Ag3Pd4Au
_chemical_formula_sum 'Ag6 Pd8 Au2'
_cell_length_a 5.011
_cell_length_b 7.317
_cell_length_c 8.183
_cell_angle_alpha 90.00
_cell_angle_beta 90.00
_cell_angle_gamma 90.00
_space_group_name_H-M_alt 'I m m 2'
_space_group_IT_number 44
loop_
_space_group_symop_operation_xyz
'x,y,z'
'-x,-y,z'
'-x,y,z'
'x,-y,z'
'x+1/2,y+1/2,z+1/2'
'-x+1/2,-y+1/2,z+1/2'
'-x+1/2,y+1/2,z+1/2'
'x+1/2,-y+1/2,z+1/2'
loop_
_atom_site_label
_atom_site_type_symbol
_atom_site_fract_x
_atom_site_fract_y
_atom_site_fract_z
_atom_site_occupancy
Ag1 Ag 0.000 0.000 0.000 1
Ag2 Ag 0.000 0.187 0.693 1
Pd1 Pd 0.000 0.317 0.385 1
Pd2 Pd 0.248 0.000 0.304 1
Au1 Au 0.000 0.500 0.095 1

***

Entry 5:
# Ag4Pd3Au4 | Alexandria via LeMat-Bulk | PBE-GGA | optimized geometry
# Calculated formation energy in eV per atom: -0.0692
# Crystal system: triclinic
data_Ag4Pd3Au4
_chemical_formula_sum 'Ag4 Pd3 Au4'
_cell_length_a 2.897
_cell_length_b 4.091
_cell_length_c 16.110
_cell_angle_alpha 97.29
_cell_angle_beta 94.99
_cell_angle_gamma 90.12
_space_group_name_H-M_alt 'P -1'
_space_group_IT_number 2
loop_
_space_group_symop_operation_xyz
'x,y,z'
'-x,-y,-z'
loop_
_atom_site_label
_atom_site_type_symbol
_atom_site_fract_x
_atom_site_fract_y
_atom_site_fract_z
_atom_site_occupancy
Ag1 Ag 0.091 0.090 0.182 1
Ag2 Ag 0.274 0.274 0.547 1
Pd1 Pd 0.000 0.000 0.000 1
Pd2 Pd 0.364 0.364 0.728 1
Au1 Au 0.180 0.180 0.361 1
Au2 Au 0.455 0.455 0.910 1

***

Entry 6:
# Ag3Pd2Au6 | Alexandria via LeMat-Bulk | PBE-GGA | optimized geometry
# Calculated formation energy in eV per atom: -0.0653
# Crystal system: triclinic
data_Ag3Pd2Au6
_chemical_formula_sum 'Ag3 Pd2 Au6'
_cell_length_a 2.953
_cell_length_b 5.051
_cell_length_c 13.437
_cell_angle_alpha 90.40
_cell_angle_beta 90.09
_cell_angle_gamma 106.79
_space_group_name_H-M_alt 'P -1'
_space_group_IT_number 2
loop_
_space_group_symop_operation_xyz
'x,y,z'
'-x,-y,-z'
loop_
_atom_site_label
_atom_site_type_symbol
_atom_site_fract_x
_atom_site_fract_y
_atom_site_fract_z
_atom_site_occupancy
Ag1 Ag 0.000 0.000 0.000 1
Ag2 Ag 0.094 0.187 0.636 1
Pd1 Pd 0.180 0.363 0.271 1
Au1 Au 0.272 0.542 0.907 1
Au2 Au 0.364 0.727 0.550 1
Au3 Au 0.456 0.914 0.185 1

***

Entry 7:
# Ag6Pd4Au | Alexandria via LeMat-Bulk | PBE-GGA | optimized geometry
# Calculated formation energy in eV per atom: 0.2693
# Crystal system: tetragonal
data_Ag6Pd4Au
_chemical_formula_sum 'Ag12 Pd8 Au2'
_cell_length_a 6.233
_cell_length_b 6.233
_cell_length_c 11.170
_cell_angle_alpha 90.00
_cell_angle_beta 90.00
_cell_angle_gamma 90.00
_space_group_name_H-M_alt 'I -4 2 m'
_space_group_IT_number 121
_space_group_name_Hall 'I -4 2'
loop_
_atom_site_label
_atom_site_type_symbol
_atom_site_fract_x
_atom_site_fract_y
_atom_site_fract_z
_atom_site_occupancy
Ag1 Ag 0.000 0.500 0.000 1
Ag2 Ag 0.234 0.234 0.170 1
Pd1 Pd 0.153 0.153 0.401 1
Au1 Au 0.000 0.000 0.000 1

***

Entry 8:
# Ag2Pd3Au3 | Alexandria via LeMat-Bulk | PBE-GGA | optimized geometry
# Calculated formation energy in eV per atom: 0.0119
# Crystal system: hexagonal
data_Ag2Pd3Au3
_chemical_formula_sum 'Ag2 Pd3 Au3'
_cell_length_a 7.5416
_cell_length_b 7.5416
_cell_length_c 2.8331
_cell_angle_alpha 90.00
_cell_angle_beta 90.00
_cell_angle_gamma 120.00
_space_group_name_H-M_alt 'P -6 2 m'
_space_group_IT_number 189
_space_group_name_Hall 'P -6 -2'
loop_
_atom_site_label
_atom_site_type_symbol
_atom_site_fract_x
_atom_site_fract_y
_atom_site_fract_z
_atom_site_occupancy
Ag1 Ag 0.3333 0.6667 0.0000 1
Pd1 Pd 0.0000 0.3716 0.5000 1
Au1 Au 0.0000 0.7587 0.0000 1

***

Entry 9:
# Ag3Pd2Au4 | Alexandria via LeMat-Bulk | PBE-GGA | optimized geometry
# Calculated formation energy in eV per atom: -0.0750
# Crystal system: triclinic
data_Ag3Pd2Au4
_chemical_formula_sum 'Ag3 Pd2 Au4'
_cell_length_a 4.079
_cell_length_b 4.995
_cell_length_c 8.803
_cell_angle_alpha 73.58
_cell_angle_beta 76.89
_cell_angle_gamma 65.96
_space_group_name_H-M_alt 'P -1'
_space_group_IT_number 2
loop_
_space_group_symop_operation_xyz
'x,y,z'
'-x,-y,-z'
loop_
_atom_site_label
_atom_site_type_symbol
_atom_site_fract_x
_atom_site_fract_y
_atom_site_fract_z
_atom_site_occupancy
Ag1 Ag 0.000 0.000 0.000 1
Ag2 Ag 0.333 0.779 0.556 1
Pd1 Pd 0.333 0.113 0.222 1
Au1 Au 0.001 0.330 0.668 1
Au2 Au 0.333 0.445 0.888 1

***

Entry 10:
# Ag6Pd2Au3 | Alexandria via LeMat-Bulk | PBE-GGA | optimized geometry
# Calculated formation energy in eV per atom: 0.1610
# Crystal system: tetragonal
data_Ag6Pd2Au3
_chemical_formula_sum 'Ag12 Pd4 Au6'
_cell_length_a 3.964
_cell_length_b 3.964
_cell_length_c 27.422
_cell_angle_alpha 90.00
_cell_angle_beta 90.00
_cell_angle_gamma 90.00
_space_group_name_H-M_alt 'I 4/m m m'
_space_group_IT_number 139
_space_group_name_Hall '-I 4 2'
loop_
_atom_site_label
_atom_site_type_symbol
_atom_site_fract_x
_atom_site_fract_y
_atom_site_fract_z
_atom_site_occupancy
Ag1 Ag 0.000 0.000 0.249 1
Ag2 Ag 0.000 0.500 0.073 1
Pd1 Pd 0.000 0.000 0.150 1
Au1 Au 0.000 0.000 0.348 1
Au2 Au 0.000 0.000 0.500 1

***

Total DFT energy (no corrections), respectively: -0.2728, -0.2247, -0.2961, -0.2796, -0.2730, -0.2627, -0.2552, -0.2850, -0.2672, -0.2376 Ry per atom.